The following is a PBE-GGA calculation of a geometry-optimized NaHfP3 structure, from Alexandria.

Summary:
Space-group type: Pm-3m
Energy relative to the elements, eV/atom: 1.16
Energy above the lowest structure with this stoichiometry, meV/atom: 1193

```
5
Lattice="4.652 0.000 0.000 0.000 4.652 0.000 0.000 0.000 4.652" Properties=species:S:1:pos:R:3 pbc="T T T"
Hf 2.326 2.326 2.326
P 2.326 0.000 0.000
P 0.000 2.326 0.000
P 0.000 0.000 2.326
Na 0.000 0.000 0.000
```


The following is a PBE-GGA calculation of a geometry-optimized BaTa2W structure, from Alexandria.

Summary:
Space-group type: P4/mmm
Energy relative to the elements, eV/atom: 1.60
Energy above the lowest structure with this stoichiometry, meV/atom: 1003

```
4
Lattice="4.902 0.000 0.000 0.000 4.177 0.000 0.000 0.000 4.177" Properties=species:S:1:pos:R:3 pbc="T T T"
Ta 0.000 0.000 0.000
Ta 0.000 2.088 2.088
W 2.451 2.088 0.000
Ba 2.451 0.000 2.088
```


The following is a PBE-GGA calculation of a geometry-optimized Be2CdMo structure, from Alexandria.

Summary:
Space-group type: R-3m
Energy relative to the elements, eV/atom: 0.45

```
4
Lattice="8.669 -0.010 -0.006 8.224 2.742 -0.006 8.224 1.330 2.398" Properties=species:S:1:pos:R:3 pbc="T T T"
Be 0.166 0.027 0.016
Be 12.392 2.004 1.177
Mo 18.837 3.047 1.790
Cd 6.279 1.016 0.597
```


The following is a PBE-GGA calculation of a geometry-optimized Zr6In2S structure, from Alexandria.

Summary:
DFT total energy, eV/cell: -130.73
Space-group type: Fm-3m

```
18
Lattice="-0.890 5.307 -3.818 -6.472 -0.173 1.268 1.301 5.541 7.397" Properties=species:S:1:pos:R:3 pbc="T T T"
In -6.592 3.866 1.208
In -3.801 6.605 -1.334
In -2.261 4.069 6.182
In 0.530 6.808 3.639
Zr -0.887 9.569 4.764
Zr -4.333 4.063 3.608
Zr -4.743 6.534 1.829
Zr -3.334 4.047 0.701
Zr -1.728 6.611 1.240
Zr -1.318 4.140 3.019
Zr -0.415 6.734 6.805
Zr -5.474 4.077 6.943
Zr -2.727 6.627 4.147
Zr -5.175 1.105 0.083
Zr -0.587 6.597 -2.095
Zr -5.646 3.940 -1.958
S -3.681 2.567 -1.275
S 0.651 2.770 3.699
```


The following is a PBE-GGA calculation of a geometry-optimized CsKGaI3 structure, from Alexandria.

Summary:
DFT total energy, eV/cell: -32.27
Space-group type: C2/m

```
12
Lattice="-5.477 0.559 -2.328 6.586 -1.350 -8.145 -2.188 -9.217 2.933" Properties=species:S:1:pos:R:3 pbc="T T T"
Cs 0.683 -9.302 -3.841
Cs -1.762 -0.706 -3.698
I 2.222 -7.834 -7.108
I -1.595 -6.496 -5.481
I -0.504 -2.274 -7.034
I 0.517 -3.512 -2.059
I -3.300 -2.174 -0.431
I -0.575 -7.734 -0.505
Ga -0.342 -6.758 -8.490
Ga -0.736 -3.249 0.951
K 1.726 -4.701 -5.190
K -2.805 -5.307 -2.350
```


The following is a PBE-GGA calculation of a geometry-optimized Sm4Bi3 structure, from Alexandria.

Summary:
Space-group type: I-43d
Energy relative to the elements, eV/atom: -0.81

```
14
Lattice="-0.911 -1.751 -8.059 -5.984 -3.766 4.342 -0.514 8.205 1.123" Properties=species:S:1:pos:R:3 pbc="T T T"
Sm -2.637 0.957 -0.923
Sm -4.111 1.677 3.358
Sm -6.341 2.301 -2.221
Sm -3.579 -3.011 -3.020
Sm -1.119 3.560 1.187
Sm -3.123 -2.135 1.010
Sm -0.786 4.409 -3.306
Sm -0.529 0.307 -3.868
Bi -2.357 -1.448 -5.826
Bi -5.478 -1.463 3.072
Bi -3.248 2.403 -3.714
Bi -4.467 3.143 0.534
Bi -1.425 6.271 -0.490
Bi -5.250 -0.842 -1.360
```


The following is a PBE-GGA calculation of a geometry-optimized Li4AsP2 structure, from Alexandria.

Summary:
Space-group type: R-3m
Energy relative to the elements, eV/atom: -0.38

```
7
Lattice="-2.840 2.441 1.827 -4.057 -0.854 -0.414 -2.001 -4.127 7.155" Properties=species:S:1:pos:R:3 pbc="T T T"
Li -2.184 -1.263 3.043
Li -6.714 -1.278 5.524
Li -4.353 -2.782 6.454
Li -4.546 0.241 2.113
P -2.089 -2.756 5.186
P -6.809 0.215 3.381
As 0.000 0.000 0.000
```


The following is a PBE-GGA calculation of a geometry-optimized TbCe3Tc structure, from Alexandria.

Summary:
Space-group type: Pm-3m
Energy relative to the elements, eV/atom: 0.13
Energy above the lowest structure with this stoichiometry, meV/atom: 135

```
5
Lattice="5.362 0.000 0.000 0.000 5.362 0.000 0.000 0.000 5.362" Properties=species:S:1:pos:R:3 pbc="T T T"
Tb 2.681 2.681 2.681
Ce 2.681 0.000 0.000
Ce 0.000 0.000 2.681
Ce 0.000 2.681 0.000
Tc 0.000 0.000 0.000
```